(1)
First-principles (PBE-GGA) data for a relaxed structure of Cs2ZnIr, as listed in Alexandria via LeMat-Bulk.

Cell: 9.297 9.297 9.327 Å, 60.11 60.11 90.00°
Fractional coordinates of all 8 atoms:
1 Ir 0.750 0.250 0.500
2 Zn 0.500 0.500 0.000
3 Cs 0.872 0.125 0.250
4 Ir 0.000 0.000 0.000
5 Cs 0.878 0.625 0.250
6 Cs 0.375 0.128 0.750
7 Cs 0.875 0.122 0.750
8 Zn 0.250 0.750 0.500

As for the energy of formation from the pure elements: 4.20 eV per formula unit.

---

(2)
First-principles (PBE-GGA) data for a relaxed structure of Cs2Zn2Ir, as listed in Alexandria via LeMat-Bulk.

Cell: 7.146 7.146 6.113 Å, 90.00 90.00 90.00°
Fractional coordinates of all 10 atoms:
1 Ir 0.500 0.500 0.000
2 Zn 0.792 0.708 0.000
3 Zn 0.208 0.292 0.000
4 Cs 0.675 0.825 0.500
5 Cs 0.175 0.675 0.500
6 Cs 0.825 0.325 0.500
7 Cs 0.325 0.175 0.500
8 Ir 0.000 0.000 0.000
9 Zn 0.292 0.792 0.000
10 Zn 0.708 0.208 0.000

As for the energy of formation from the pure elements: 1.54 eV per formula unit. For the energy above the lowest structure with this stoichiometry, the calculation gives 0 meV/atom.

---

(3)
First-principles (PBE-GGA) data for a relaxed structure of Cs2Zn2Ir, as listed in Alexandria via LeMat-Bulk.

Cell: 3.640 3.640 12.386 Å, 81.55 81.55 90.00°
Each line ends with the local moment (μB).
Fractional coordinates of all 5 atoms:
1 Ir 0.000 0.000 0.000  0.40
2 Zn 0.250 0.750 0.500  -0.01
3 Cs 0.406 0.406 0.189  0.00
4 Zn 0.750 0.250 0.500  -0.01
5 Cs 0.594 0.594 0.811  0.00

As for the energy of formation from the pure elements: 3.59 eV per formula unit. For the energy above the lowest structure with this stoichiometry, the calculation gives 410 meV/atom.

---

Question: Which of these has the lowest energy of formation from the pure elements?
Answer: number 2

---

Copy entry 1 word for word.
First-principles (PBE-GGA) data for a relaxed structure of Cs2ZnIr, as listed in Alexandria via LeMat-Bulk.

Cell: 9.297 9.297 9.327 Å, 60.11 60.11 90.00°
Fractional coordinates of all 8 atoms:
1 Ir 0.750 0.250 0.500
2 Zn 0.500 0.500 0.000
3 Cs 0.872 0.125 0.250
4 Ir 0.000 0.000 0.000
5 Cs 0.878 0.625 0.250
6 Cs 0.375 0.128 0.750
7 Cs 0.875 0.122 0.750
8 Zn 0.250 0.750 0.500

As for the energy of formation from the pure elements: 4.20 eV per formula unit.